Material: V4Cd3AgO12
Method: DFT, PBE+U
State: relaxed

The structure in POSCAR format:
```
V4Cd3AgO12
1.0
6.053 3.495 2.300
-6.053 3.495 2.300
0.000 -6.990 2.300
V Cd Ag O
4 3 1 12
Cartesian
0.000 0.000 0.000
-2.592 -2.501 2.300
-0.870 3.495 2.300
-2.592 2.501 4.601
-5.251 0.000 3.450
2.625 -4.547 3.450
2.625 4.547 3.450
0.000 0.000 3.450
-3.466 -0.986 2.300
-5.192 2.003 2.300
0.861 -5.498 2.300
-0.812 -2.825 2.508
-2.041 2.116 2.508
-2.041 -2.116 4.393
2.587 -2.509 2.300
0.880 3.495 2.300
2.853 0.710 2.508
-0.812 2.825 4.393
2.853 -0.710 4.393
4.330 3.495 2.300
```

## Properties
M_tot: 3.0 Bohr magnetons per cell
Symmetry: R32, No. 155
DOS(E_F): 7.2 states/eV/f.u.
Energy: -120.051 eV per formula unit